Entry from Alexandria: a geometry-optimized Ca2NiAs structure (GGA-PBEsol).

For the calculated volume, the calculation gives 82.85 Å³/f.u. The calculation puts the total energy at -4.292 eV per atom. The symmetry is No. 47. Its size of the total moment is 0.0001 μB per atom.

```
Ca2NiAs
1.0
3.305 0.000 0.000
0.000 3.799 0.000
0.000 0.000 6.599
Ca Ni As
2 1 1
Direct
0.000 0.000 0.249
0.000 0.000 0.751
0.500 0.500 0.000
0.500 0.500 0.500
```